P:
# YCrRe2 (PBE-GGA, relaxed)
data_YCrRe2
_cell_length_a 6.3881
_cell_length_b 6.3881
_cell_length_c 6.3881
_cell_angle_alpha 90.00
_cell_angle_beta 90.00
_cell_angle_gamma 90.00
_symmetry_space_group_name_H-M 'F -4 3 m'
_symmetry_Int_Tables_number 216
_symmetry_space_group_name_Hall 'F -4 2 3'
loop_
_atom_site_label
_atom_site_type_symbol
_atom_site_fract_x
_atom_site_fract_y
_atom_site_fract_z
_atom_site_occupancy
Y1 Y 0.0000 0.0000 0.0000 1
Cr1 Cr 0.2500 0.2500 0.2500 1
Re1 Re 0.0000 0.0000 0.5000 1
Re2 Re 0.2500 0.2500 0.7500 1
# Fermi-level density of states: 0.641 states/eV/atom
# Crystal system: cubic

Q:
# YCrRe2 (PBE-GGA, relaxed)
data_YCrRe2
_cell_length_a 3.1666
_cell_length_b 4.5732
_cell_length_c 9.0280
_cell_angle_alpha 90.00
_cell_angle_beta 90.00
_cell_angle_gamma 90.00
_symmetry_space_group_name_H-M 'C m m m'
_symmetry_Int_Tables_number 65
_symmetry_space_group_name_Hall '-C 2 2'
loop_
_atom_site_label
_atom_site_type_symbol
_atom_site_fract_x
_atom_site_fract_y
_atom_site_fract_z
_atom_site_occupancy
Y1 Y 0.0000 0.0000 0.0000 1
Cr1 Cr 0.0000 0.0000 0.5000 1
Re1 Re 0.0000 0.5000 0.2839 1
# Fermi-level density of states: 1.101 states/eV/atom
# Crystal system: orthorhombic

R:
# YCrRe2 (PBE-GGA, relaxed)
data_YCrRe2
_cell_length_a 5.2774
_cell_length_b 9.1267
_cell_length_c 2.8536
_cell_angle_alpha 90.00
_cell_angle_beta 90.00
_cell_angle_gamma 90.00
_symmetry_space_group_name_H-M 'C m m m'
_symmetry_Int_Tables_number 65
_symmetry_space_group_name_Hall '-C 2 2'
loop_
_atom_site_label
_atom_site_type_symbol
_atom_site_fract_x
_atom_site_fract_y
_atom_site_fract_z
_atom_site_occupancy
Y1 Y 0.0000 0.0000 0.0000 1
Cr1 Cr 0.0000 0.5000 0.0000 1
Re1 Re 0.2500 0.2500 0.5000 1
# Fermi-level density of states: 1.274 states/eV/atom
# Crystal system: orthorhombic

P is favored, and the nearest alternative lies 62 meV/atom above it.